Record 1
Compound: SrCa3Ge
Source: the Alexandria database
Functional: PBE-GGA
Structure: optimized geometry

abc: 5.8701 5.8701 5.8701
angles: 90.00 90.00 90.00
Closest atoms and distances in Å follow each position.
Atoms (fractional coordinates):
Ca 0.5000 0.0000 0.0000  2 Ge 2.94
Ge 0.0000 0.0000 0.0000  6 Ca 2.94
Ca 0.0000 0.5000 0.0000  2 Ge 2.94
Ca 0.0000 0.0000 0.5000  2 Ge 2.94
Sr 0.5000 0.5000 0.5000  12 Ca 4.15

Output
uncorrected energy: -0.1963 Ry/atom
ΔH_f (0 K): -0.210 eV/atom
distance to the lowest polymorph of the same formula: 0 meV/atom
space-group type: Pm-3m, No. 221


Record 2
Compound: PaCu2Au
Source: the Alexandria database
Functional: PBE-GGA
Structure: optimized geometry

abc: 3.1667 3.1667 6.8623
angles: 90.00 90.00 90.00
Closest atoms and distances in Å follow each position.
Atoms (fractional coordinates):
Pa 0.5000 0.5000 0.5000  8 Cu 2.98, 4 Pa 3.17
Au 0.5000 0.5000 0.0000  8 Cu 2.68
Cu 0.0000 0.0000 0.7855  4 Au 2.68, 1 Cu 2.94, 4 Pa 2.98
Cu 0.0000 0.0000 0.2145  4 Au 2.68, 1 Cu 2.94, 4 Pa 2.98

Output
uncorrected energy: -0.3870 Ry/atom
ΔH_f (0 K): -0.024 eV/atom
distance to the lowest polymorph of the same formula: 143 meV/atom
space-group type: P4/mmm, No. 123


Record 3
Compound: CdCu3Pd5
Source: the Alexandria database
Functional: PBE-GGA
Structure: optimized geometry

abc: 5.4632 5.4632 10.4332
angles: 84.40 84.40 80.62
Closest atoms and distances in Å follow each position.
Atoms (fractional coordinates):
Pd 0.2782 0.2782 0.8812  2 Cu 2.48-2.55, 3 Pd 2.57-2.67, 1 Cd 2.59
Cu 0.0000 0.0000 0.5000  2 Cd 2.55, 2 Cu 2.68, 4 Pd 2.72
Cd 0.0481 0.0481 0.7365  3 Cu 2.55-2.73, 3 Pd 2.59-2.76
Cu 0.6823 0.6823 0.4823  6 Pd 2.52-2.75, 1 Cu 2.68
Pd 0.9922 0.4161 0.3341  4 Cu 2.55-2.72, 2 Pd 2.71-2.84, 1 Cd 2.76
Pd 0.3211 0.6789 0.0000  1 Cu 2.27, 1 Pd 2.53
Pd 0.7218 0.7218 0.1188  2 Cu 2.48-2.55, 3 Pd 2.57-2.67, 1 Cd 2.59
Pd 0.6789 0.3211 0.0000  1 Cu 2.27, 1 Pd 2.53
Cu 0.3177 0.3177 0.5177  6 Pd 2.52-2.75, 1 Cu 2.68
Pd 0.5226 0.5226 0.7040  3 Cu 2.52-2.75, 3 Pd 2.57-2.71
Cu 0.2524 0.2524 0.1274  6 Pd 2.55-2.73, 1 Cu 2.63, 1 Cd 2.72
Cu 0.7476 0.7476 0.8726  6 Pd 2.55-2.73, 1 Cu 2.63, 1 Cd 2.72
Pd 0.5839 0.0078 0.6659  4 Cu 2.55-2.72, 2 Pd 2.71-2.84, 1 Cd 2.76
Cu 0.0000 0.0000 0.0000  4 Pd 2.27-2.48
Pd 0.0078 0.5839 0.6659  4 Cu 2.55-2.72, 2 Pd 2.71-2.84, 1 Cd 2.76
Cd 0.9519 0.9519 0.2635  3 Cu 2.55-2.73, 3 Pd 2.59-2.76
Pd 0.4774 0.4774 0.2960  3 Cu 2.52-2.75, 3 Pd 2.57-2.71
Pd 0.4161 0.9922 0.3341  4 Cu 2.55-2.72, 2 Pd 2.71-2.84, 1 Cd 2.76

Output
uncorrected energy: -0.3037 Ry/atom
ΔH_f (0 K): 0.220 eV/atom
space-group type: C2/m, No. 12


Record 4
Compound: CrPW2C
Source: the Alexandria database
Functional: PBE-GGA
Structure: optimized geometry

abc: 4.1459 4.1459 3.8014
angles: 90.00 90.00 90.00
Closest atoms and distances in Å follow each position.
Atoms (fractional coordinates):
Cr 0.0000 0.0000 0.5000  2 C 1.90
W 0.5000 0.0000 0.0000  2 C 2.07
C 0.0000 0.0000 0.0000  2 Cr 1.90, 4 W 2.07
W 0.0000 0.5000 0.0000  2 C 2.07
P 0.5000 0.5000 0.5000  8 W 2.81, 4 Cr 2.93

Output
uncorrected energy: -0.7089 Ry/atom
ΔH_f (0 K): 0.388 eV/atom
space-group type: P4/mmm, No. 123


Record 5
Compound: PaPtI
Source: the Alexandria database
Functional: PBE-GGA
Structure: optimized geometry

abc: 7.8052 7.5542 7.8052
angles: 74.60 60.92 105.40
Closest atoms and distances in Å follow each position.
Atoms (fractional coordinates):
Pt 0.6262 0.7218 0.8850  4 Pa 2.77-2.92, 1 Pt 2.86
I 0.2878 0.7124 0.3994  3 Pa 3.16-3.30, 2 Pt 3.42-3.54
Pa 0.0739 0.9926 0.5544  4 Pt 2.77-2.92
Pt 0.3650 0.2218 0.6238  4 Pa 2.77-2.92, 1 Pt 2.86
I 0.8506 0.2124 0.9622  3 Pa 3.16-3.30, 2 Pt 3.42-3.54
I 0.8254 0.7876 0.3619  3 Pa 3.16-3.30, 2 Pt 3.42-3.54
Pa 0.3313 0.5074 0.7970  4 Pt 2.77-2.92
Pt 0.1544 0.7782 0.8568  4 Pa 2.77-2.92, 1 Pt 2.86
Pa 0.6956 0.4926 0.1761  4 Pt 2.77-2.92
Pt 0.3932 0.2782 0.0956  4 Pa 2.77-2.92, 1 Pt 2.86
I 0.8881 0.2876 0.4246  3 Pa 3.16-3.30, 2 Pt 3.42-3.54
Pa 0.4530 0.0074 0.9187  4 Pt 2.77-2.92

Output
uncorrected energy: -0.4623 Ry/atom
uncorrected formation energy: -594 meV/atom
space-group type: Fdd2, No. 43


Record 6
Compound: InOsO2
Source: the Alexandria database
Functional: PBE-GGA
Structure: optimized geometry

abc: 6.7334 6.7334 6.7334
angles: 26.27 26.27 26.27
Closest atoms and distances in Å follow each position.
Atoms (fractional coordinates):
O 0.8957 0.8957 0.8957  1 Os 2.03, 3 In 2.15
In 0.5000 0.5000 0.5000  6 O 2.15
O 0.1043 0.1043 0.1043  1 Os 2.03, 3 In 2.15
Os 0.0000 0.0000 0.0000  2 O 2.03

Output
uncorrected energy: -0.4733 Ry/atom
uncorrected formation energy: -468 meV/atom
space-group type: R-3m, No. 166


Record 7
Compound: La5SmTe6
Source: the Alexandria database
Functional: PBE-GGA
Structure: optimized geometry

abc: 7.8955 7.8840 7.9042
angles: 60.08 80.37 70.39
Closest atoms and distances in Å follow each position.
Atoms (fractional coordinates):
Sm 0.0000 0.0000 0.0000  6 Te 3.17-3.18
La 0.5000 0.5000 0.0000  6 Te 3.23-3.26
La 0.5000 0.1695 0.6609  6 Te 3.22-3.25
La 0.5000 0.8305 0.3391  6 Te 3.22-3.25
Te 0.2456 0.5904 0.3282  1 Sm 3.17, 5 La 3.22-3.25
Te 0.2456 0.9187 0.6718  1 Sm 3.17, 5 La 3.22-3.25
La 0.0000 0.3343 0.3313  6 Te 3.22-3.23
Te 0.7544 0.0813 0.3282  1 Sm 3.17, 5 La 3.22-3.25
Te 0.7544 0.4096 0.6718  1 Sm 3.17, 5 La 3.22-3.25
La 0.0000 0.6657 0.6687  6 Te 3.22-3.23
Te 0.7505 0.7559 0.0000  1 Sm 3.18, 5 La 3.23-3.26
Te 0.2495 0.2441 0.0000  1 Sm 3.18, 5 La 3.23-3.26

Output
uncorrected energy: -0.4101 Ry/atom
uncorrected formation energy: -1562 meV/atom
space-group type: C2/m, No. 12


Record 8
Compound: HfGa6Pt
Source: the Alexandria database
Functional: PBE-GGA
Structure: optimized geometry

abc: 5.5438 5.5438 5.5441
angles: 75.48 75.48 104.52
Closest atoms and distances in Å follow each position.
Atoms (fractional coordinates):
Ga 0.7030 0.1508 0.2970  1 Pt 2.48, 1 Ga 2.57
Pt 0.0000 0.0000 0.0000  6 Ga 2.48
Ga 0.1508 0.7030 0.2970  1 Pt 2.48, 1 Ga 2.57
Ga 0.7030 0.7030 0.8492  1 Pt 2.48, 1 Ga 2.57
Ga 0.8492 0.2970 0.7030  1 Pt 2.48, 1 Ga 2.57
Ga 0.2970 0.2970 0.1508  1 Pt 2.48, 1 Ga 2.57
Ga 0.2970 0.8492 0.7030  1 Pt 2.48, 1 Ga 2.57
Hf 0.5000 0.5000 0.5000  6 Ga 2.80

Output
uncorrected energy: -0.3377 Ry/atom
ΔH_f (0 K): -0.326 eV/atom
space-group type: R-3m, No. 166


Record 9
Compound: VNi4Pd
Source: the Alexandria database
Functional: PBE-GGA
Structure: optimized geometry

abc: 4.0572 4.0572 5.0532
angles: 90.06 90.06 120.00
Closest atoms and distances in Å follow each position.
Atoms (fractional coordinates):
Ni 0.6675 0.8342 0.2545  5 Ni 2.34-2.57
Ni 0.3325 0.1658 0.7455  5 Ni 2.34-2.57
V 0.0000 0.5000 0.5000  2 Pd 2.53, 12 Ni 2.65-2.66
Pd 0.0000 0.5000 0.0000  2 V 2.53, 12 Ni 2.67
Ni 0.3342 0.1675 0.2545  5 Ni 2.34-2.57
Ni 0.6658 0.8325 0.7455  5 Ni 2.34-2.57

Output
uncorrected energy: -0.4629 Ry/atom
ΔH_f (0 K): -0.058 eV/atom
distance to the lowest polymorph of the same formula: 54 meV/atom
space-group type: C2/m, No. 12


Record 10
Compound: SmCuSb
Source: the Alexandria database
Functional: PBE-GGA
Structure: optimized geometry

abc: 4.4480 4.4479 6.9027
angles: 90.00 90.00 90.00
Closest atoms and distances in Å follow each position.
Atoms (fractional coordinates):
Sb 0.7501 0.7500 0.7309  4 Cu 2.74
Cu 0.7499 0.2500 0.5000  4 Sb 2.74
Cu 0.2501 0.7500 0.5000  4 Sb 2.74
Sm 0.2501 0.2500 0.8104  4 Cu 3.09, 5 Sb 3.17-3.19
Sm 0.7499 0.7500 0.1896  4 Cu 3.09, 5 Sb 3.17-3.19
Sb 0.2499 0.2500 0.2691  4 Cu 2.74

Output
uncorrected energy: -0.3656 Ry/atom
uncorrected formation energy: -662 meV/atom
space-group type: P4/nmm, No. 129


Record 11
Compound: B2C
Source: the Alexandria database
Functional: PBE-GGA
Structure: optimized geometry

abc: 2.6851 3.9060 8.7772
angles: 90.00 90.00 90.00
Closest atoms and distances in Å follow each position.
Atoms (fractional coordinates):
C 0.0000 0.9962 0.0000  4 B 1.54-1.57
B 0.5000 0.4854 0.1994  1 C 1.50
C 0.5000 0.2450 0.3326  3 B 1.50-1.57
B 0.0000 0.7036 0.1182  1 C 1.54
B 0.0000 0.7036 0.8818  1 C 1.54
B 0.5000 0.4854 0.8006  1 C 1.50
B 0.5000 0.2054 0.0000  2 C 1.57
C 0.5000 0.2450 0.6674  3 B 1.50-1.57
B 0.0000 0.0610 0.6225  3 C 1.57-1.58
B 0.0000 0.0610 0.3775  3 C 1.57-1.58
B 0.5000 0.5422 0.5000  2 C 1.60
C 0.0000 0.7660 0.5000  4 B 1.58-1.60

Output
uncorrected energy: -0.5266 Ry/atom
ΔH_f (0 K): 0.362 eV/atom
distance to the lowest polymorph of the same formula: 177 meV/atom
space-group type: Pmm2, No. 25


Record 12
Compound: SnNO
Source: the Alexandria database
Functional: PBE-GGA
Structure: optimized geometry

abc: 3.9327 5.8391 6.5995
angles: 90.00 90.00 90.00
Closest atoms and distances in Å follow each position.
Atoms (fractional coordinates):
Sn 0.2500 0.1734 0.3381  2 N 2.11-2.18, 3 O 2.15-2.23
O 0.2500 0.5308 0.1231  3 Sn 2.15-2.23
O 0.7500 0.4692 0.8769  3 Sn 2.15-2.23
Sn 0.7500 0.8266 0.6619  2 N 2.11-2.18, 3 O 2.15-2.23
N 0.2500 0.0383 0.0299  2 N 2.05, 2 Sn 2.11-2.18
N 0.7500 0.9617 0.9701  2 N 2.05, 2 Sn 2.11-2.18
Sn 0.7500 0.6734 0.1619  2 N 2.11-2.18, 3 O 2.15-2.23
N 0.2500 0.4617 0.5299  2 N 2.05, 2 Sn 2.11-2.18
N 0.7500 0.5383 0.4701  2 N 2.05, 2 Sn 2.11-2.18
O 0.7500 0.0308 0.3769  3 Sn 2.15-2.23
Sn 0.2500 0.3266 0.8381  2 N 2.11-2.18, 3 O 2.15-2.23
O 0.2500 0.9692 0.6231  3 Sn 2.15-2.23

Output
uncorrected energy: -0.4282 Ry/atom
distance to the lowest polymorph of the same formula: 698 meV/atom
uncorrected formation energy: -64 meV/atom
space-group type: Pnma, No. 62


Question: Look up the uncorrected energy of the second one.
Answer: -0.3870 Ry/atom


Question: Which of these has the highest uncorrected energy?
Answer: SrCa3Ge


Copy entry 9 word for word.
Compound: VNi4Pd
Source: the Alexandria database
Functional: PBE-GGA
Structure: optimized geometry

abc: 4.0572 4.0572 5.0532
angles: 90.06 90.06 120.00
Closest atoms and distances in Å follow each position.
Atoms (fractional coordinates):
Ni 0.6675 0.8342 0.2545  5 Ni 2.34-2.57
Ni 0.3325 0.1658 0.7455  5 Ni 2.34-2.57
V 0.0000 0.5000 0.5000  2 Pd 2.53, 12 Ni 2.65-2.66
Pd 0.0000 0.5000 0.0000  2 V 2.53, 12 Ni 2.67
Ni 0.3342 0.1675 0.2545  5 Ni 2.34-2.57
Ni 0.6658 0.8325 0.7455  5 Ni 2.34-2.57

Output
uncorrected energy: -0.4629 Ry/atom
ΔH_f (0 K): -0.058 eV/atom
distance to the lowest polymorph of the same formula: 54 meV/atom
space-group type: C2/m, No. 12


Question: Which value of uncorrected energy does entry 12 give?
Answer: -0.4282 Ry/atom